Entry 1:
Compound: Ta2NiMo
Source: Alexandria
Functional: PBE
Structure: relaxed

extended XYZ file:
```
4
Lattice="-3.879 -2.236 -8.321 -2.809 -4.778 -7.653 -5.359 -4.009 -6.671" Properties=species:S:1:pos:R:3 pbc="T T T"
Mo -3.012 -2.756 -5.661
Ta -5.946 -5.441 -11.177
Ta -0.077 -0.071 -0.146
Ni -9.036 -8.268 -16.983
```

Properties
**Symmetry**: R-3m (166)
**Mass density**: 13.2 Mg/m³
**Formation energy from the elements**: 210.5 meV/atom
**V**: 64.92 Å³ per cell


Entry 2:
Compound: TaNiMo2
Source: Alexandria
Functional: PBE
Structure: relaxed

extended XYZ file:
```
4
Lattice="-1.634 -3.646 1.899 3.576 -0.236 2.594 -2.413 3.707 -0.098" Properties=species:S:1:pos:R:3 pbc="T T T"
Mo 1.067 0.765 2.371
Mo 0.000 0.000 0.000
Ta -1.538 -0.940 2.024
Ni 0.971 -1.941 2.247
```

Properties
**Symmetry**: I-4m2 (119)
**Mass density**: 11.7 Mg/m³
**Formation energy from the elements**: 47.3 meV/atom
**V**: 61.31 Å³ per cell
**Polymorph energy (0 for the lowest one)**: 87 meV/atom


Entry 3:
Compound: ZrTaNiMo
Source: Alexandria
Functional: PBE
Structure: relaxed

extended XYZ file:
```
4
Lattice="4.557 0.000 0.000 2.278 3.946 0.000 2.278 1.315 3.721" Properties=species:S:1:pos:R:3 pbc="T T T"
Ni 2.278 1.315 0.930
Ta 4.557 2.631 1.860
Zr 0.000 0.000 0.000
Mo 6.835 3.946 2.790
```

Properties
**Symmetry**: F-43m (216)
**Mass density**: 10.6 Mg/m³
**Formation energy from the elements**: -138.0 meV/atom
**V**: 66.91 Å³ per cell


Entry 4:
Compound: TcNiMo2
Source: Alexandria
Functional: PBE
Structure: relaxed

extended XYZ file:
```
4
Lattice="-0.436 4.063 1.276 -0.606 -0.822 2.410 4.750 -0.225 2.337" Properties=species:S:1:pos:R:3 pbc="T T T"
Mo -0.557 -0.800 2.358
Mo 2.022 -0.545 2.426
Ni 0.818 1.770 1.825
Tc 2.890 1.246 4.198
```

Properties
**Symmetry**: P2/m (10)
**Mass density**: 10.0 Mg/m³
**Formation energy from the elements**: 121.1 meV/atom
**V**: 58.02 Å³ per cell
**Polymorph energy (0 for the lowest one)**: 114 meV/atom


Entry 5:
Compound: TcNiMo2
Source: Alexandria
Functional: PBE
Structure: relaxed

extended XYZ file:
```
4
Lattice="3.205 0.000 0.000 0.000 3.205 0.000 0.000 0.000 5.611" Properties=species:S:1:pos:R:3 pbc="T T T"
Mo 1.603 1.603 1.556
Mo 0.000 0.000 5.572
Ni 0.000 0.000 2.763
Tc 1.603 1.603 4.137
```

Properties
**Symmetry**: P4mm (99)
**Mass density**: 10.0 Mg/m³
**Formation energy from the elements**: 85.7 meV/atom
**V**: 57.65 Å³ per cell
**Polymorph energy (0 for the lowest one)**: 79 meV/atom


Entry 6:
Compound: TcNiMo
Source: Alexandria
Functional: PBE
Structure: relaxed

extended XYZ file:
```
3
Lattice="-5.490 1.299 2.751 -6.248 -0.182 -0.574 5.849 -2.254 -0.328" Properties=species:S:1:pos:R:3 pbc="T T T"
Tc -7.949 0.756 1.474
Mo -11.645 1.108 2.160
Ni -3.882 0.369 0.720
```

Properties
**Symmetry**: I4mm (107)
**Mass density**: 10.1 Mg/m³
**Formation energy from the elements**: 87.3 meV/atom
**V**: 41.42 Å³ per cell
**Polymorph energy (0 for the lowest one)**: 23 meV/atom


Entry 7:
Compound: Tc2NiMo
Source: Alexandria
Functional: PBE
Structure: relaxed

extended XYZ file:
```
4
Lattice="-1.505 -1.916 -1.156 1.780 -0.184 -2.018 3.886 -5.418 3.921" Properties=species:S:1:pos:R:3 pbc="T T T"
Ni 3.067 -5.134 1.369
Tc 3.864 -5.388 3.899
Tc 1.064 -2.341 -0.653
Mo 1.995 -2.782 2.014
```

Properties
**Symmetry**: P4mm (99)
**Mass density**: 10.3 Mg/m³
**Formation energy from the elements**: 77.3 meV/atom
**V**: 56.27 Å³ per cell
**Polymorph energy (0 for the lowest one)**: 92 meV/atom


Entry 8:
Compound: TcNi2Mo
Source: Alexandria
Functional: PBE
Structure: relaxed

extended XYZ file:
```
4
Lattice="-1.605 -1.818 2.759 2.793 -2.388 0.051 1.853 2.222 2.542" Properties=species:S:1:pos:R:3 pbc="T T T"
Ni 0.000 0.000 0.000
Ni 0.594 -2.103 1.405
Tc 0.124 0.202 2.650
Mo 2.323 -0.083 1.297
```

Properties
**Symmetry**: P4/mmm (123)
**Mass density**: 9.9 Mg/m³
**Formation energy from the elements**: -6.0 meV/atom
**V**: 51.98 Å³ per cell
**Polymorph energy (0 for the lowest one)**: 40 meV/atom


Entry 9:
Compound: TcNi2Mo
Source: Alexandria
Functional: PBE
Structure: relaxed

extended XYZ file:
```
4
Lattice="-2.605 3.583 1.386 -4.525 -1.032 -0.045 3.731 -2.105 1.788" Properties=species:S:1:pos:R:3 pbc="T T T"
Mo -2.180 -0.931 1.207
Tc -1.219 1.377 1.922
Ni 0.000 0.000 0.000
Ni -3.565 1.276 0.670
```

Properties
**Symmetry**: I4/mmm (139)
**Mass density**: 9.9 Mg/m³
**Formation energy from the elements**: 4.7 meV/atom
**V**: 51.99 Å³ per cell
**Polymorph energy (0 for the lowest one)**: 51 meV/atom


Entry 10:
Compound: Tc2NiMo
Source: Alexandria
Functional: PBE
Structure: relaxed

extended XYZ file:
```
4
Lattice="-0.172 1.384 3.820 1.436 -2.027 0.799 5.564 1.313 -0.225" Properties=species:S:1:pos:R:3 pbc="T T T"
Mo 1.664 0.513 2.053
Ni 5.164 0.157 2.340
Tc 3.470 -0.162 0.215
Tc 5.595 1.119 -0.153
```

Properties
**Symmetry**: P2/m (10)
**Mass density**: 10.2 Mg/m³
**Formation energy from the elements**: 120.4 meV/atom
**V**: 57.00 Å³ per cell
**Polymorph energy (0 for the lowest one)**: 135 meV/atom


Entry 11:
Compound: Tc2NiMo
Source: Alexandria
Functional: PBE
Structure: relaxed

extended XYZ file:
```
4
Lattice="-8.797 0.315 1.990 -8.580 -2.351 1.519 -7.989 -1.353 3.975" Properties=species:S:1:pos:R:3 pbc="T T T"
Ni -18.999 -2.538 5.606
Tc -6.426 -0.858 1.896
Tc -0.022 -0.003 0.006
Mo -12.602 -1.683 3.718
```

Properties
**Symmetry**: R3m (160)
**Mass density**: 10.3 Mg/m³
**Formation energy from the elements**: 117.8 meV/atom
**V**: 56.79 Å³ per cell
**Polymorph energy (0 for the lowest one)**: 133 meV/atom


Entry 12:
Compound: Tc4NiMo
Source: Alexandria
Functional: PBE
Structure: relaxed

extended XYZ file:
```
6
Lattice="-2.604 -3.488 -2.565 -2.908 -3.309 2.475 -5.032 0.329 -0.315" Properties=species:S:1:pos:R:3 pbc="T T T"
Tc -3.942 -2.418 -0.151
Tc -5.409 -4.088 1.098
Tc -5.256 -4.178 -1.446
Tc -6.481 -2.252 -0.310
Ni 0.000 0.000 0.000
Mo -7.908 -4.851 -0.304
```

Properties
**Symmetry**: F-43m (216)
**Mass density**: 10.0 Mg/m³
**Formation energy from the elements**: 323.6 meV/atom
**V**: 91.21 Å³ per cell


Entry 13:
Compound: Tc2NiMo
Source: Alexandria
Functional: PBE
Structure: relaxed

extended XYZ file:
```
4
Lattice="-1.239 3.840 2.350 -3.452 2.191 2.253 0.857 -1.406 4.357" Properties=species:S:1:pos:R:3 pbc="T T T"
Tc -2.851 3.434 6.755
Tc -3.817 4.604 8.943
Mo -1.956 2.368 4.433
Ni -0.959 1.155 2.270
```

Properties
**Symmetry**: Cm (8)
**Mass density**: 10.3 Mg/m³
**Formation energy from the elements**: 110.0 meV/atom
**V**: 56.42 Å³ per cell
**Polymorph energy (0 for the lowest one)**: 125 meV/atom


Entry 14:
Compound: TcNi2Mo
Source: Alexandria
Functional: PBE
Structure: relaxed

extended XYZ file:
```
8
Lattice="2.576 0.000 -0.322 0.000 4.223 0.000 -0.101 0.000 9.643" Properties=species:S:1:pos:R:3 pbc="T T T"
Mo 1.502 1.056 1.551
Mo 0.973 3.167 7.770
Ni 0.072 3.167 0.575
Ni 2.403 1.056 8.746
Ni 2.111 1.056 6.413
Ni 0.364 3.167 2.908
Tc 0.538 1.056 4.295
Tc 1.937 3.167 5.026
```

Properties
**Symmetry**: Cmcm (63)
**Mass density**: 9.9 Mg/m³
**Formation energy from the elements**: 18.7 meV/atom
**V**: 104.77 Å³ per cell
**Polymorph energy (0 for the lowest one)**: 65 meV/atom


Entry 15:
Compound: TcNi2Mo
Source: Alexandria
Functional: PBE
Structure: relaxed

extended XYZ file:
```
4
Lattice="2.590 0.000 0.000 0.000 3.797 0.000 0.000 0.000 5.337" Properties=species:S:1:pos:R:3 pbc="T T T"
Ni 1.295 1.899 1.283
Ni 0.000 0.000 0.067
Tc 0.000 0.000 2.570
Mo 1.295 1.899 4.085
```

Properties
**Symmetry**: Pmm2 (25)
**Mass density**: 9.9 Mg/m³
**Formation energy from the elements**: 33.0 meV/atom
**V**: 52.48 Å³ per cell
**Polymorph energy (0 for the lowest one)**: 79 meV/atom


Entry 16:
Compound: TcNiMo
Source: Alexandria
Functional: PBE
Structure: relaxed

extended XYZ file:
```
3
Lattice="4.705 -0.028 0.000 2.566 3.944 0.000 -3.636 -1.958 2.255" Properties=species:S:1:pos:R:3 pbc="T T T"
Mo 0.003 0.002 0.000
Ni 2.441 1.315 0.000
Tc 4.827 2.600 0.000
```

Properties
**Symmetry**: I4mm (107)
**Mass density**: 10.0 Mg/m³
**Formation energy from the elements**: 118.9 meV/atom
**V**: 42.01 Å³ per cell
**Polymorph energy (0 for the lowest one)**: 55 meV/atom


Entry 17:
Compound: TcNiMo
Source: Alexandria
Functional: PBE
Structure: relaxed

extended XYZ file:
```
3
Lattice="4.332 0.000 0.000 -2.166 3.752 0.000 0.000 0.000 2.584" Properties=species:S:1:pos:R:3 pbc="T T T"
Tc 0.000 2.501 1.823
Mo 0.000 0.000 0.069
Ni 2.166 1.251 0.693
```

Properties
**Symmetry**: P3m1 (156)
**Mass density**: 10.0 Mg/m³
**Formation energy from the elements**: 75.2 meV/atom
**V**: 42.00 Å³ per cell
**Polymorph energy (0 for the lowest one)**: 11 meV/atom


Entry 18:
Compound: TcNi5Mo
Source: Alexandria
Functional: PBE
Structure: relaxed

extended XYZ file:
```
14
Lattice="-5.745 -2.468 1.196 -0.885 -2.716 5.848 -1.619 3.931 1.812" Properties=species:S:1:pos:R:3 pbc="T T T"
Tc -1.944 -0.383 2.328
Tc -6.855 -0.650 7.135
Ni -5.959 0.587 5.227
Ni -1.915 -0.567 5.358
Ni -3.634 1.336 5.583
Ni -4.429 -0.275 1.546
Ni -4.723 1.505 3.311
Ni -2.196 1.598 3.652
Ni -6.251 -0.803 3.109
Ni -4.061 -0.849 7.022
Ni -5.792 -2.046 5.157
Ni -3.487 -2.729 5.722
Mo -1.693 3.792 2.040
Mo -3.913 -0.802 4.001
```

Properties
**Symmetry**: P1 (1)
**Mass density**: 9.5 Mg/m³
**Formation energy from the elements**: 28.4 meV/atom
**V**: 170.32 Å³ per cell


Entry 19:
Compound: TcNi2Mo
Source: Alexandria
Functional: PBE
Structure: relaxed

extended XYZ file:
```
4
Lattice="8.817 0.002 0.001 8.417 2.625 0.001 8.417 1.283 2.290" Properties=species:S:1:pos:R:3 pbc="T T T"
Mo 19.239 2.932 1.719
Ni 12.869 1.961 1.150
Ni 25.609 3.903 2.288
Tc 6.413 0.977 0.573
```

Properties
**Symmetry**: R-3m (166)
**Mass density**: 9.8 Mg/m³
**Formation energy from the elements**: 171.9 meV/atom
**V**: 52.96 Å³ per cell
**Polymorph energy (0 for the lowest one)**: 218 meV/atom


Entry 20:
Compound: TcNi2Mo
Source: Alexandria
Functional: PBE
Structure: relaxed

extended XYZ file:
```
4
Lattice="-3.219 3.017 1.325 -3.544 2.643 -1.294 -3.459 -2.882 0.840" Properties=species:S:1:pos:R:3 pbc="T T T"
Ni -3.459 -2.863 0.837
Ni -5.111 1.369 0.438
Tc -7.666 2.083 0.653
Mo -2.555 0.694 0.218
```

Properties
**Symmetry**: C2/m (12)
**Mass density**: 9.8 Mg/m³
**Formation energy from the elements**: 136.2 meV/atom
**V**: 53.00 Å³ per cell
**Polymorph energy (0 for the lowest one)**: 182 meV/atom